(1)
PrRe2 (PBEsol, relaxed); calculated density = 14.86 g/cm³; magnetic moment = 0.0000 μB per atom; E_form = 0.3 eV per formula unit; DOS(E_F) = 0.6870 states/eV/atom
1.0
5.488 0.000 0.000
-2.744 4.753 0.000
0.000 0.000 8.800
Pr Re
4 8
Cartesian
0.000 3.168 0.552 Pr
0.000 3.168 3.848 Pr
2.744 1.584 4.952 Pr
2.744 1.584 8.248 Pr
0.000 0.000 0.000 Re
0.000 0.000 4.400 Re
0.000 1.613 6.600 Re
-1.347 3.946 6.600 Re
1.397 0.806 2.200 Re
1.347 3.946 6.600 Re
4.091 0.806 2.200 Re
2.744 3.140 2.200 Re

(2)
K3CuPCO7 (PBEsol, relaxed); calculated density = 2.85 g/cm³; magnetic moment = 0.0736 μB per atom; uncorrected formation energy = -1.79 eV/atom
1.0
5.350 0.000 0.000
0.000 7.952 0.000
-0.088 0.000 9.208
K Cu P C O
6 2 2 2 14
Cartesian
1.255 1.988 0.604 K
1.307 4.036 6.383 K
1.307 7.892 6.383 K
3.955 0.060 2.826 K
3.955 3.916 2.826 K
4.007 5.964 8.605 K
1.246 5.964 3.334 Cu
4.016 1.988 5.875 Cu
1.385 1.988 3.767 P
3.877 5.964 5.441 P
1.398 5.964 0.935 C
3.864 1.988 8.274 C
0.271 5.964 1.598 O
0.368 1.988 4.948 O
1.239 0.715 2.911 O
1.239 3.260 2.911 O
1.364 5.964 8.877 O
2.427 5.964 4.819 O
2.459 5.964 1.704 O
2.803 1.988 7.504 O
2.835 1.988 4.389 O
3.897 1.988 0.331 O
4.023 4.691 6.298 O
4.023 7.236 6.298 O
4.894 5.964 4.261 O
4.990 1.988 7.610 O

(3)
ZrSc2Mo (PBEsol, relaxed); calculated density = 5.83 g/cm³; magnetic moment = 0.0001 μB per atom; energy above the most stable polymorph in this dataset = 68 meV/atom; E_form = 0.6 eV per formula unit; DOS(E_F) = 1.1565 states/eV/atom
1.0
3.003 0.000 0.000
0.000 4.691 0.000
-1.453 0.000 5.607
Zr Sc Mo
1 2 1
Cartesian
0.000 0.000 0.000 Zr
0.115 2.345 4.108 Sc
1.435 2.345 1.499 Sc
-0.726 0.000 2.803 Mo

(4)
Sr2CdCuSn (PBEsol, relaxed); calculated density = 4.09 g/cm³; magnetic moment = 0.0000 μB per atom; E_form = 1.9 eV per formula unit; DOS(E_F) = 0.4648 states/eV/atom
1.0
6.146 0.000 0.000
0.000 6.146 0.000
0.000 0.000 5.057
Sr Cd Cu Sn
2 1 1 1
Cartesian
0.000 3.073 0.000 Sr
3.073 0.000 0.000 Sr
0.000 0.000 0.000 Cd
3.073 3.073 2.529 Cu
0.000 0.000 2.529 Sn

(5)
ZrAgSe (PBEsol, relaxed); calculated density = 7.55 g/cm³; magnetic moment = 0.0000 μB per atom; uncorrected formation energy = -0.31 eV/atom; DOS(E_F) = 0.6595 states/eV/atom
1.0
4.475 0.000 0.000
-2.238 3.876 0.000
0.000 0.000 3.524
Zr Ag Se
1 1 1
Cartesian
0.000 0.000 0.000 Zr
0.000 2.584 1.762 Ag
2.238 1.292 0.000 Se

(6)
YCdSCl2 (PBEsol, relaxed); calculated density = 3.62 g/cm³; magnetic moment = 0.0001 μB per atom; uncorrected formation energy = -1.23 eV/atom; DOS(E_F) = 0.4793 states/eV/atom
1.0
5.132 0.000 0.000
0.000 5.132 0.000
0.000 0.000 5.307
Y Cd S Cl
1 1 1 2
Cartesian
0.000 0.000 0.000 Y
2.566 2.566 2.653 Cd
0.000 0.000 2.653 S
0.000 2.566 0.000 Cl
2.566 0.000 0.000 Cl